DFT (SCAN) results for La2InSb at its PBEsol-relaxed geometry.

a b c (Å): 4.243 4.878 6.453
angles (deg): 90.00 90.00 90.00
Space group Pmmm (No. 47)
Inequivalent atoms, fractional coordinates:
La1 0.000 0.000 0.000
La2 0.500 0.500 0.500
In1 0.000 0.000 0.500
Sb1 0.500 0.500 0.000

Summary:
Its uncorrected formation energy is -0.84 eV/atom. The calculation puts the total DFT energy (no corrections) at -160.2 eV/f.u. As for the offset from the most stable computed form: 0.1190 eV/atom. Its calculated volume is 33.39 Å³/atom. Its theoretical density is 6.40 g/cm³.


DFT (SCAN) results for La2InSb at its PBEsol-relaxed geometry.

a b c (Å): 4.062 4.062 7.065
angles (deg): 90.00 90.00 90.00
Space group P4/mmm (No. 123)
Inequivalent atoms, fractional coordinates:
La1 0.000 0.000 0.239
In1 0.500 0.500 0.500
Sb1 0.500 0.500 0.000

Summary:
Its uncorrected formation energy is -0.92 eV/atom. The calculation puts the total DFT energy (no corrections) at -160.5 eV/f.u. As for the offset from the most stable computed form: 0.0415 eV/atom. Its calculated volume is 29.14 Å³/atom. Its theoretical density is 7.33 g/cm³.


DFT (SCAN) results for LaInSbTe2 at its PBEsol-relaxed geometry.

a b c (Å): 6.036 6.036 5.975
angles (deg): 90.00 90.00 90.00
Space group P4/mmm (No. 123)
Inequivalent atoms, fractional coordinates:
La1 0.000 0.000 0.000
In1 0.500 0.500 0.500
Sb1 0.000 0.000 0.500
Te1 0.000 0.500 0.000

Summary:
Its uncorrected formation energy is -0.08 eV/atom. The calculation puts the total DFT energy (no corrections) at -188.6 eV/f.u. Its calculated volume is 43.54 Å³/atom. Its theoretical density is 4.81 g/cm³.


DFT (SCAN) results for La2ScIn at its PBEsol-relaxed geometry.

a b c (Å): 4.722 4.722 4.968
angles (deg): 90.00 90.00 90.00
Space group P4/mmm (No. 123)
Inequivalent atoms, fractional coordinates:
La1 0.000 0.500 0.000
Sc1 0.000 0.000 0.500
In1 0.500 0.500 0.500

Summary:
The formation energy is -1.423 eV/f.u. The calculation puts the total DFT energy (no corrections) at -135.3 eV/f.u. Its calculated volume is 27.69 Å³/atom. Its theoretical density is 6.56 g/cm³.


DFT (SCAN) results for La2ScIn at its PBEsol-relaxed geometry.

a b c (Å): 4.775 4.775 9.720
angles (deg): 90.00 90.00 90.00
Space group I-4m2 (No. 119)
Inequivalent atoms, fractional coordinates:
La1 0.000 0.000 0.000
La2 0.000 0.500 0.250
Sc1 0.000 0.000 0.500
In1 0.000 0.500 0.750

Summary:
The formation energy is -1.243 eV/f.u. The calculation puts the total DFT energy (no corrections) at -135.1 eV/f.u. Its calculated volume is 27.70 Å³/atom. Its theoretical density is 6.56 g/cm³.


DFT (SCAN) results for La2ScIn2 at its PBEsol-relaxed geometry.

a b c (Å): 7.876 7.876 4.753
angles (deg): 90.00 90.00 90.00
Space group P4/mbm (No. 127)
Inequivalent atoms, fractional coordinates:
La1 0.170 0.330 0.000
Sc1 0.000 0.000 0.500
In1 0.131 0.631 0.500

Summary:
The formation energy is -2.697 eV/f.u. The calculation puts the total DFT energy (no corrections) at -169.9 eV/f.u. Its calculated volume is 29.48 Å³/atom. Its theoretical density is 6.22 g/cm³.


DFT (SCAN) results for La2ScIn at its PBEsol-relaxed geometry.

a b c (Å): 3.789 5.484 11.087
angles (deg): 90.00 90.00 90.00
Space group Imm2 (No. 44)
Inequivalent atoms, fractional coordinates:
La1 0.000 0.000 0.000
La2 0.000 0.500 0.224
Sc1 0.000 0.500 0.770
In1 0.000 0.000 0.474

Summary:
The formation energy is -1.271 eV/f.u. The calculation puts the total DFT energy (no corrections) at -135.1 eV/f.u. Its calculated volume is 28.80 Å³/atom. Its theoretical density is 6.31 g/cm³.


DFT (SCAN) results for La2ScIn at its PBEsol-relaxed geometry.

a b c (Å): 3.373 5.763 5.770
angles (deg): 90.00 96.79 90.00
Space group P2/m (No. 10)
Inequivalent atoms, fractional coordinates:
La1 0.205 0.000 0.266
Sc1 0.500 0.500 0.000
In1 0.000 0.500 0.500

Summary:
The formation energy is -0.703 eV/f.u. The calculation puts the total DFT energy (no corrections) at -134.5 eV/f.u. Its calculated volume is 27.84 Å³/atom. Its theoretical density is 6.53 g/cm³.


DFT (SCAN) results for LaScIn3 at its PBEsol-relaxed geometry.

a b c (Å): 5.715 5.715 5.715
angles (deg): 90.00 90.00 90.00
Space group Pm-3m (No. 221)
Inequivalent atoms, fractional coordinates:
La1 0.000 0.000 0.000
Sc1 0.500 0.500 0.500
In1 0.000 0.000 0.500

Summary:
The formation energy is 3.978 eV/f.u. The calculation puts the total DFT energy (no corrections) at -153.5 eV/f.u. Its calculated volume is 37.33 Å³/atom. Its theoretical density is 4.70 g/cm³.


DFT (SCAN) results for La2ScIn at its PBEsol-relaxed geometry.

a b c (Å): 3.701 4.597 6.779
angles (deg): 90.00 90.00 90.00
Space group Pmmm (No. 47)
Inequivalent atoms, fractional coordinates:
La1 0.000 0.000 0.243
Sc1 0.500 0.500 0.500
In1 0.500 0.500 0.000

Summary:
The formation energy is -1.177 eV/f.u. The calculation puts the total DFT energy (no corrections) at -135.0 eV/f.u. Its calculated volume is 28.83 Å³/atom. Its theoretical density is 6.30 g/cm³.


DFT (SCAN) results for LaSc2In at its PBEsol-relaxed geometry.

a b c (Å): 4.714 4.714 9.049
angles (deg): 90.00 90.00 90.00
Space group I4/mmm (No. 139)
Inequivalent atoms, fractional coordinates:
La1 0.000 0.000 0.000
Sc1 0.000 0.500 0.250
In1 0.000 0.000 0.500

Summary:
The formation energy is -0.858 eV/f.u. The calculation puts the total DFT energy (no corrections) at -105.8 eV/f.u. Its calculated volume is 25.13 Å³/atom. Its theoretical density is 5.68 g/cm³.


DFT (SCAN) results for LaSc2In at its PBEsol-relaxed geometry.

a b c (Å): 3.570 5.081 5.577
angles (deg): 90.00 90.00 90.00
Space group Pmmm (No. 47)
Inequivalent atoms, fractional coordinates:
La1 0.000 0.000 0.000
Sc1 0.000 0.500 0.500
Sc2 0.500 0.500 0.000
In1 0.500 0.000 0.500

Summary:
The formation energy is -0.895 eV/f.u. The calculation puts the total DFT energy (no corrections) at -105.9 eV/f.u. Its calculated volume is 25.29 Å³/atom. Its theoretical density is 5.64 g/cm³.


Which formula does entry 2 have?
La2InSb


Among the records above, which one has the lowest theoretical density?
LaScIn3